Record 1
# Mg5Tl2Zn

An optimized crystal structure of Mg5Tl2Zn (PBE-GGA, the Alexandria database).

Values from the calculation:
Polymorph energy (0 for the lowest one) ... 13 meV/atom
E_tot ... -1.735 eV per atom
ΔH_f (0 K) ... 0.012 eV/atom
Space group ... No. 194

abc: 4.7597 4.7597 19.5431
angles: 90.00 90.00 120.00
With the nearest neighbours (Å) after each atom.
Element x y z (fractional)
1 Mg 0.0000 0.0000 0.1679  3 Tl 3.02, 3 Zn 3.18, 4 Mg 3.18-3.21
2 Mg 0.0000 0.0000 0.3321  3 Tl 3.02, 3 Zn 3.18, 4 Mg 3.18-3.21
3 Mg 0.0000 0.0000 0.6679  3 Tl 3.02, 4 Mg 3.18-3.21, 3 Zn 3.18
4 Mg 0.0000 0.0000 0.8321  3 Tl 3.02, 4 Mg 3.18-3.21, 3 Zn 3.18
5 Mg 0.3333 0.6667 0.0503  4 Tl 2.94-3.01
6 Mg 0.3333 0.6667 0.2500  3 Zn 2.75
7 Mg 0.3333 0.6667 0.4497  4 Tl 2.94-3.01
8 Mg 0.6667 0.3333 0.5503  4 Tl 2.94-3.01
9 Mg 0.6667 0.3333 0.7500  3 Zn 2.75
10 Mg 0.6667 0.3333 0.9497  4 Tl 2.94-3.01
11 Tl 0.3333 0.6667 0.6035  1 Zn 2.86, 7 Mg 2.94-3.02
12 Tl 0.3333 0.6667 0.8965  1 Zn 2.86, 7 Mg 2.94-3.02
13 Tl 0.6667 0.3333 0.1035  1 Zn 2.86, 7 Mg 2.94-3.02
14 Tl 0.6667 0.3333 0.3965  1 Zn 2.86, 7 Mg 2.94-3.02
15 Zn 0.3333 0.6667 0.7500  3 Mg 2.75, 2 Tl 2.86
16 Zn 0.6667 0.3333 0.2500  3 Mg 2.75, 2 Tl 2.86

***

Record 2
# MgTl2Zn

An optimized crystal structure of MgTl2Zn (PBE-GGA, the Alexandria database).

Values from the calculation:
Polymorph energy (0 for the lowest one) ... 119 meV/atom
E_tot ... -1.735 eV per atom
ΔH_f (0 K) ... 0.165 eV/atom
Space group ... No. 122

abc: 4.5376 4.5376 20.4539
angles: 90.00 90.00 90.00
With the nearest neighbours (Å) after each atom.
Element x y z (fractional)
1 Mg 0.0000 0.0000 0.0000  4 Tl 3.03, 4 Zn 3.21
2 Mg 0.0000 0.5000 0.2500  4 Tl 3.03, 4 Zn 3.21
3 Mg 0.5000 0.0000 0.7500  4 Tl 3.03, 4 Zn 3.21
4 Mg 0.5000 0.5000 0.5000  4 Tl 3.03, 4 Zn 3.21
5 Tl 0.2457 0.2500 0.6250  2 Zn 3.01, 2 Mg 3.03, 4 Tl 3.18-3.24
6 Tl 0.2500 0.7457 0.8750  2 Zn 3.01, 2 Mg 3.03, 4 Tl 3.18-3.24
7 Tl 0.2500 0.7543 0.3750  2 Zn 3.01, 2 Mg 3.03, 4 Tl 3.18-3.24
8 Tl 0.2543 0.2500 0.1250  2 Zn 3.01, 2 Mg 3.03, 4 Tl 3.18-3.24
9 Tl 0.7457 0.7500 0.1250  2 Zn 3.01, 2 Mg 3.03, 4 Tl 3.18-3.24
10 Tl 0.7500 0.2457 0.3750  2 Zn 3.01, 2 Mg 3.03, 4 Tl 3.18-3.24
11 Tl 0.7500 0.2543 0.8750  2 Zn 3.01, 2 Mg 3.03, 4 Tl 3.18-3.24
12 Tl 0.7543 0.7500 0.6250  2 Zn 3.01, 2 Mg 3.03, 4 Tl 3.18-3.24
13 Zn 0.0000 0.0000 0.5000  4 Tl 3.01, 4 Mg 3.21
14 Zn 0.0000 0.5000 0.7500  4 Tl 3.01, 4 Mg 3.21
15 Zn 0.5000 0.0000 0.2500  4 Tl 3.01, 4 Mg 3.21
16 Zn 0.5000 0.5000 0.0000  4 Tl 3.01, 4 Mg 3.21

***

Record 3
# MgTl2Zn2

An optimized crystal structure of MgTl2Zn2 (PBE-GGA, the Alexandria database).

Values from the calculation:
Polymorph energy (0 for the lowest one) ... 0 meV/atom
E_tot ... -1.676 eV per atom
ΔH_f (0 K) ... 0.099 eV/atom
Space group ... No. 127

abc: 7.3455 7.3455 4.3417
angles: 90.00 90.00 90.00
With the nearest neighbours (Å) after each atom.
Element x y z (fractional)
1 Mg 0.0000 0.0000 0.0000  4 Zn 2.90
2 Mg 0.5000 0.5000 0.0000  4 Zn 2.90
3 Tl 0.1772 0.3228 0.5000  6 Zn 2.99-3.13
4 Tl 0.3228 0.8228 0.5000  6 Zn 2.99-3.13
5 Tl 0.6772 0.1772 0.5000  6 Zn 2.99-3.13
6 Tl 0.8228 0.6772 0.5000  6 Zn 2.99-3.13
7 Zn 0.1255 0.6255 0.0000  1 Zn 2.61, 2 Mg 2.90
8 Zn 0.3745 0.1255 0.0000  1 Zn 2.61, 2 Mg 2.90
9 Zn 0.6255 0.8745 0.0000  1 Zn 2.61, 2 Mg 2.90
10 Zn 0.8745 0.3745 0.0000  1 Zn 2.61, 2 Mg 2.90

***

Record 4
# MgTl2Zn2

An optimized crystal structure of MgTl2Zn2 (PBE-GGA, the Alexandria database).

Values from the calculation:
Polymorph energy (0 for the lowest one) ... 117 meV/atom
E_tot ... -1.559 eV per atom
ΔH_f (0 K) ... 0.216 eV/atom
Space group ... No. 139

abc: 4.4571 4.4571 12.6047
angles: 90.00 90.00 90.00
With the nearest neighbours (Å) after each atom.
Element x y z (fractional)
1 Mg 0.0000 0.0000 0.0000  8 Zn 3.37
2 Mg 0.5000 0.5000 0.5000  8 Zn 3.37
3 Tl 0.0000 0.5000 0.2500  4 Zn 2.96, 4 Tl 3.15
4 Tl 0.0000 0.5000 0.7500  4 Zn 2.96, 4 Tl 3.15
5 Tl 0.5000 0.0000 0.2500  4 Zn 2.96, 4 Tl 3.15
6 Tl 0.5000 0.0000 0.7500  4 Zn 2.96, 4 Tl 3.15
7 Zn 0.0000 0.0000 0.4049  1 Zn 2.40
8 Zn 0.0000 0.0000 0.5951  1 Zn 2.40
9 Zn 0.5000 0.5000 0.0951  1 Zn 2.40
10 Zn 0.5000 0.5000 0.9049  1 Zn 2.40

***

Record 5
# Mg2TlZn

An optimized crystal structure of Mg2TlZn (PBE-GGA, the Alexandria database).

Values from the calculation:
E_tot ... -1.699 eV per atom
ΔH_f (0 K) ... 0.008 eV/atom
Space group ... No. 12

abc: 9.2439 3.2026 6.1424
angles: 90.00 101.07 90.00
With the nearest neighbours (Å) after each atom.
Element x y z (fractional)
1 Mg 0.2429 0.0000 0.2231  3 Zn 2.88-2.96, 3 Tl 3.07-3.09, 4 Mg 3.20
2 Mg 0.2571 0.5000 0.7769  3 Zn 2.88-2.96, 3 Tl 3.07-3.09, 4 Mg 3.20
3 Mg 0.7429 0.5000 0.2231  3 Zn 2.88-2.96, 3 Tl 3.07-3.09, 4 Mg 3.20
4 Mg 0.7571 0.0000 0.7769  3 Zn 2.88-2.96, 3 Tl 3.07-3.09, 4 Mg 3.20
5 Tl 0.0000 0.0000 0.5000  6 Mg 3.07-3.09, 2 Tl 3.20
6 Tl 0.5000 0.5000 0.5000  6 Mg 3.07-3.09, 2 Tl 3.20
7 Zn 0.0000 0.5000 0.0000  6 Mg 2.88-2.96, 2 Zn 3.20
8 Zn 0.5000 0.0000 0.0000  6 Mg 2.88-2.96, 2 Zn 3.20

***

Record 6
# Mg2TlZn

An optimized crystal structure of Mg2TlZn (PBE-GGA, the Alexandria database).

Values from the calculation:
E_tot ... -1.706 eV per atom
ΔH_f (0 K) ... 0.002 eV/atom
Space group ... No. 6

abc: 3.3241 4.5941 5.9271
angles: 90.00 104.89 90.00
With the nearest neighbours (Å) after each atom.
Element x y z (fractional)
1 Mg 0.0000 0.0000 0.0000  1 Zn 2.77, 4 Tl 3.05-3.06
2 Mg 0.3247 0.5000 0.6701  4 Zn 2.97, 3 Tl 3.04-3.19, 2 Mg 3.32
3 Tl 0.5948 0.5000 0.2001  2 Zn 2.92, 7 Mg 3.04-3.19
4 Zn 0.7532 0.0000 0.5159  5 Mg 2.77-2.97, 2 Tl 2.92

***

Repeat the third record exactly.
# MgTl2Zn2

An optimized crystal structure of MgTl2Zn2 (PBE-GGA, the Alexandria database).

Values from the calculation:
Polymorph energy (0 for the lowest one) ... 0 meV/atom
E_tot ... -1.676 eV per atom
ΔH_f (0 K) ... 0.099 eV/atom
Space group ... No. 127

abc: 7.3455 7.3455 4.3417
angles: 90.00 90.00 90.00
With the nearest neighbours (Å) after each atom.
Element x y z (fractional)
1 Mg 0.0000 0.0000 0.0000  4 Zn 2.90
2 Mg 0.5000 0.5000 0.0000  4 Zn 2.90
3 Tl 0.1772 0.3228 0.5000  6 Zn 2.99-3.13
4 Tl 0.3228 0.8228 0.5000  6 Zn 2.99-3.13
5 Tl 0.6772 0.1772 0.5000  6 Zn 2.99-3.13
6 Tl 0.8228 0.6772 0.5000  6 Zn 2.99-3.13
7 Zn 0.1255 0.6255 0.0000  1 Zn 2.61, 2 Mg 2.90
8 Zn 0.3745 0.1255 0.0000  1 Zn 2.61, 2 Mg 2.90
9 Zn 0.6255 0.8745 0.0000  1 Zn 2.61, 2 Mg 2.90
10 Zn 0.8745 0.3745 0.0000  1 Zn 2.61, 2 Mg 2.90

***

Which formula does entry 2 have?
MgTl2Zn